Record 1
Tb6PbO12 after structural relaxation. Source: the Alexandria database, functional PBE.

Unit cell a=10.0817 b=10.0817 c=9.4240 alpha=90.00 beta=90.00 gamma=120.00
Space group R-3 (No. 148, hexagonal axes)
Inequivalent atoms, fractional coordinates:
Tb (0.0491, 0.2592, 0.1509) x18
Pb (0.0000, 0.0000, 0.5000) x3
O (0.0380, 0.2207, 0.8991) x18
O (0.0433, 0.2108, 0.3914) x18

- Density of states at the Fermi level: 33.43 states/eV/cell
- ΔE_f (raw): -2.904 eV per atom
- VASP energy: -7.69 eV/atom

***

Record 2
LiTcPd14 after structural relaxation. Source: the Alexandria database, functional PBE.

Unit cell a=5.539 b=5.539 c=7.866 alpha=90.00 beta=90.00 gamma=90.00
Space group P4/mmm (No. 123)
Inequivalent atoms, fractional coordinates:
Li (0.000, 0.000, 0.000) x1
Tc (0.500, 0.500, 0.000) x1
Pd (0.000, 0.000, 0.500) x1
Pd (0.000, 0.500, 0.000) x2
Pd (0.000, 0.500, 0.500) x2
Pd (0.252, 0.252, 0.243) x8
Pd (0.500, 0.500, 0.500) x1

- Density of states at the Fermi level: 28.35 states/eV/cell
- Formation energy from the elements: -55 meV/atom
- VASP energy: -5.37 eV/atom

***

Record 3
Pr3Tl4GeSe8 after structural relaxation. Source: the Alexandria database, functional PBE.

Unit cell a=8.6223 b=8.6223 c=22.6935 alpha=90.00 beta=90.00 gamma=120.00
Space group R-3m (No. 166, hexagonal axes)
Inequivalent atoms, fractional coordinates:
Pr (0.0000, 0.5000, 0.0000) x9
Tl (0.0000, 0.0000, 0.5000) x3
Tl (0.0000, 0.5000, 0.5000) x9
Ge (0.0000, 0.0000, 0.0000) x3
Se (0.0000, 0.0000, 0.2606) x6
Se (0.0121, 0.5061, 0.7365) x18

- Density of states at the Fermi level: 24.17 states/eV/cell
- ΔE_f (raw): -1.062 eV per atom
- VASP energy: -4.58 eV/atom

***

What did the first record say?
Tb6PbO12 after structural relaxation. Source: the Alexandria database, functional PBE.

Unit cell a=10.0817 b=10.0817 c=9.4240 alpha=90.00 beta=90.00 gamma=120.00
Space group R-3 (No. 148, hexagonal axes)
Inequivalent atoms, fractional coordinates:
Tb (0.0491, 0.2592, 0.1509) x18
Pb (0.0000, 0.0000, 0.5000) x3
O (0.0380, 0.2207, 0.8991) x18
O (0.0433, 0.2108, 0.3914) x18

- Density of states at the Fermi level: 33.43 states/eV/cell
- ΔE_f (raw): -2.904 eV per atom
- VASP energy: -7.69 eV/atom

***

Which value of density of states at the Fermi level does entry 2 give? 28.35 states/eV/cell